Record 1
Entry from Alexandria: MgCdAg2 at its PBEsol-relaxed geometry (SCAN).

The formation energy comes out at -0.67 eV per formula unit. The total magnetic moment comes out at 0.00 μB per cell. Its crystal system is tetragonal.

The structure belongs to space group I-4m2 (No. 119); the cell edges are 4.0770, 4.0770 and 8.5737 Å and the angles 90.00°, 90.00° and 90.00°. The distinct sites, in fractional coordinates, are Mg at (0.0000, 0.0000, 0.0000), Cd at (0.0000, 0.5000, 0.7500), Ag at (0.0000, 0.0000, 0.5000) and Ag at (0.0000, 0.5000, 0.2500).

Record 2
Entry from Alexandria: Sr2CrAu at its PBEsol-relaxed geometry (SCAN).

The formation energy comes out at -0.04 eV per formula unit. The total magnetic moment comes out at 23.08 μB per cell. Its crystal system is cubic.

The structure belongs to space group F-43m (No. 216); the cell edges are 7.3776, 7.3776 and 7.3776 Å and the angles 90.00°, 90.00° and 90.00°. The distinct sites, in fractional coordinates, are Sr at (0.0000, 0.0000, 0.0000), Sr at (0.2500, 0.2500, 0.2500), Cr at (0.0000, 0.0000, 0.5000) and Au at (0.2500, 0.2500, 0.7500).

Record 3
Entry from Alexandria: CoSi3N at its PBEsol-relaxed geometry (SCAN).

The formation energy from raw total energies comes out at 701.7 meV per atom. The total magnetic moment comes out at 0.00 μB per cell. Its crystal system is cubic.

The structure belongs to space group Pm-3m (No. 221); the cell edges are 3.8476, 3.8476 and 3.8476 Å and the angles 90.00°, 90.00° and 90.00°. The distinct sites, in fractional coordinates, are Co at (0.0000, 0.0000, 0.0000), Si at (0.0000, 0.5000, 0.5000) and N at (0.5000, 0.5000, 0.5000).

Record 4
Entry from Alexandria: CuRhW2 at its PBEsol-relaxed geometry (SCAN).

The formation energy comes out at 1.01 eV per formula unit. The total magnetic moment comes out at 0.00 μB per cell. Its crystal system is tetragonal.

The structure belongs to space group I-4m2 (No. 119); the cell edges are 3.8380, 3.8380 and 7.7111 Å and the angles 90.00°, 90.00° and 90.00°. The distinct sites, in fractional coordinates, are Cu at (0.0000, 0.0000, 0.0000), Rh at (0.0000, 0.5000, 0.2500), W at (0.0000, 0.0000, 0.5000) and W at (0.0000, 0.5000, 0.7500).

Record 5
Entry from Alexandria: GeBAu2Br at its PBEsol-relaxed geometry (SCAN).

The formation energy from raw total energies comes out at 1697.1 meV per atom. The total magnetic moment comes out at 0.00 μB per cell. Its crystal system is tetragonal.

The structure belongs to space group P4/mmm (No. 123); the cell edges are 5.1005, 5.1005 and 3.9982 Å and the angles 90.00°, 90.00° and 90.00°. The distinct sites, in fractional coordinates, are Ge at (0.0000, 0.0000, 0.0000), B at (0.5000, 0.5000, 0.0000), Au at (0.0000, 0.5000, 0.5000) and Br at (0.5000, 0.5000, 0.5000).

Record 6
Entry from Alexandria: CdTc2Pb at its PBEsol-relaxed geometry (SCAN).

The formation energy comes out at 3.23 eV per formula unit. The total magnetic moment comes out at 0.00 μB per cell. Its crystal system is trigonal.

The structure belongs to space group R-3m (No. 166, hexagonal axes); the cell edges are 3.0201, 3.0201 and 26.6637 Å and the angles 90.00°, 90.00° and 120.00°. The distinct sites, in fractional coordinates, are Cd at (0.0000, 0.0000, 0.0000), Tc at (0.0000, 0.0000, 0.2489) and Pb at (0.0000, 0.0000, 0.5000).

> Look up the total magnetic moment of the fourth one.

0.00 μB per cell